# 1
A plane-wave DFT calculation with GGA-PBE was carried out for an optimized crystal structure of TbNd4Sm2Er.

Unit cell a=5.1584 b=5.1363 c=11.4306 alpha=63.22 beta=90.00 gamma=90.00
With the nearest neighbours (Å) after each atom.
Fractional positions:
Tb  0.5000  0.5000  0.0000  8 Nd 3.62-3.64, 4 Sm 3.64
Nd  0.0000  0.7517  0.7487  2 Er 3.61, 4 Sm 3.62-3.63, 2 Tb 3.64, 4 Nd 3.64
Nd  0.0000  0.2483  0.2513  2 Er 3.61, 4 Sm 3.62-3.63, 2 Tb 3.64, 4 Nd 3.64
Nd  0.5000  0.7495  0.2504  4 Sm 3.61-3.63, 2 Tb 3.62-3.63, 2 Er 3.62, 4 Nd 3.64
Nd  0.5000  0.2505  0.7496  4 Sm 3.61-3.63, 2 Tb 3.62-3.63, 2 Er 3.62, 4 Nd 3.64
Sm  0.0000  0.0000  0.0000  8 Nd 3.63, 4 Tb 3.64
Sm  0.5000  0.0000  0.5000  8 Nd 3.61-3.62, 4 Er 3.64
Er  0.0000  0.5000  0.5000  8 Nd 3.61-3.62, 4 Sm 3.64

***

# 2
A plane-wave DFT calculation with GGA-PBE was carried out for an optimized crystal structure of Tb3NdSm6Er2.

Unit cell a=6.2289 b=6.2289 c=11.9001 alpha=95.00 beta=95.00 gamma=119.99
With the nearest neighbours (Å) after each atom.
Fractional positions:
Tb  0.1669  0.8331  0.5000  6 Sm 3.58-3.59, 6 Tb 3.59-3.60
Tb  0.8331  0.1669  0.5000  6 Sm 3.58-3.59, 6 Tb 3.59-3.60
Tb  0.5000  0.5000  0.5000  6 Sm 3.59, 6 Tb 3.59-3.60
Nd  0.0000  0.0000  0.0000  6 Sm 3.59-3.60, 6 Er 3.60
Sm  0.9161  0.5818  0.7496  3 Tb 3.58-3.59, 6 Sm 3.59-3.61, 2 Er 3.59, 1 Nd 3.60
Sm  0.7496  0.7496  0.2502  3 Tb 3.59, 6 Sm 3.59-3.61, 2 Er 3.59, 1 Nd 3.59
Sm  0.0839  0.4182  0.2504  3 Tb 3.58-3.59, 6 Sm 3.59-3.61, 2 Er 3.59, 1 Nd 3.60
Sm  0.5818  0.9161  0.7496  3 Tb 3.58-3.59, 6 Sm 3.59-3.61, 2 Er 3.59, 1 Nd 3.60
Sm  0.2504  0.2504  0.7498  3 Tb 3.59, 6 Sm 3.59-3.61, 2 Er 3.59, 1 Nd 3.59
Sm  0.4182  0.0839  0.2504  3 Tb 3.58-3.59, 6 Sm 3.59-3.61, 2 Er 3.59, 1 Nd 3.60
Er  0.3334  0.6666  0.0000  6 Sm 3.59, 3 Er 3.60, 3 Nd 3.60
Er  0.6666  0.3334  0.0000  6 Sm 3.59, 3 Er 3.60, 3 Nd 3.60

***

# 3
A plane-wave DFT calculation with GGA-PBE was carried out for an optimized crystal structure of Tb2Nd4SmEr2.

Unit cell a=5.0993 b=8.0798 c=8.0618 alpha=107.44 beta=90.00 gamma=108.39
With the nearest neighbours (Å) after each atom.
Fractional positions:
Tb  0.8885  0.7770  0.3313  3 Er 3.59, 1 Sm 3.60, 7 Nd 3.60-3.64, 1 Tb 3.64
Tb  0.1115  0.2230  0.6687  3 Er 3.59, 1 Sm 3.60, 7 Nd 3.60-3.64, 1 Tb 3.64
Nd  0.7772  0.5543  0.6687  3 Er 3.57-3.60, 3 Tb 3.60-3.64, 1 Sm 3.61, 5 Nd 3.63-3.64
Nd  0.2228  0.4457  0.3313  3 Er 3.57-3.60, 3 Tb 3.60-3.64, 1 Sm 3.61, 5 Nd 3.63-3.64
Nd  0.5542  0.1084  0.3312  2 Sm 3.59, 4 Tb 3.60-3.63, 2 Er 3.60-3.62, 4 Nd 3.61-3.64
Nd  0.4458  0.8916  0.6688  2 Sm 3.59, 4 Tb 3.60-3.63, 2 Er 3.60-3.62, 4 Nd 3.61-3.64
Sm  0.0000  0.0000  0.0000  6 Nd 3.59-3.61, 2 Tb 3.60, 4 Er 3.62
Er  0.3321  0.6642  0.0005  5 Nd 3.57-3.62, 2 Er 3.58, 3 Tb 3.59, 2 Sm 3.62
Er  0.6679  0.3358  0.9995  5 Nd 3.57-3.62, 2 Er 3.58, 3 Tb 3.59, 2 Sm 3.62

***

# 4
A plane-wave DFT calculation with GGA-PBE was carried out for an optimized crystal structure of Tb2NdSm5Er.

Unit cell a=5.6479 b=10.5202 c=10.7125 alpha=90.00 beta=90.00 gamma=105.57
With the nearest neighbours (Å) after each atom.
Fractional positions:
Tb  0.8842  0.7685  0.8184  9 Sm 3.36-3.75, 1 Nd 3.74
Tb  0.1101  0.2202  0.7366  7 Sm 3.44-3.83, 1 Nd 3.46, 2 Er 3.71
Tb  0.1158  0.2315  0.3184  9 Sm 3.36-3.75, 1 Nd 3.74
Tb  0.8899  0.7798  0.2366  7 Sm 3.44-3.83, 1 Nd 3.46, 2 Er 3.71
Nd  0.7984  0.5968  0.5096  2 Tb 3.46-3.74, 8 Sm 3.52-3.87, 2 Er 3.67
Nd  0.2016  0.4032  0.0096  2 Tb 3.46-3.74, 8 Sm 3.52-3.87, 2 Er 3.67
Sm  0.3924  0.7848  0.0246  5 Sm 3.48-3.78, 4 Tb 3.59-3.62, 1 Nd 3.87
Sm  0.7186  0.4373  0.8074  1 Er 3.08, 1 Tb 3.36, 2 Sm 3.44
Sm  0.4796  0.9591  0.7412  2 Er 3.21-3.34, 2 Sm 3.48-3.51, 2 Tb 3.52
Sm  0.2986  0.5971  0.7050  3 Sm 3.44-3.69, 1 Er 3.49, 3 Nd 3.52-3.81, 3 Tb 3.53-3.83
Sm  0.9833  0.9667  0.5231  2 Er 3.26, 3 Tb 3.44-3.61
Sm  0.6076  0.2152  0.5246  5 Sm 3.48-3.78, 4 Tb 3.59-3.62, 1 Nd 3.87
Sm  0.2814  0.5627  0.3074  1 Er 3.08, 1 Tb 3.36, 2 Sm 3.44
Sm  0.5204  0.0409  0.2412  2 Er 3.21-3.34, 2 Sm 3.48-3.51, 2 Tb 3.52
Sm  0.7014  0.4029  0.2050  3 Sm 3.44-3.69, 1 Er 3.49, 3 Nd 3.52-3.81, 3 Tb 3.53-3.83
Sm  0.0167  0.0333  0.0231  2 Er 3.26, 3 Tb 3.44-3.61
Er  0.5889  0.1779  0.9580  5 Sm 3.08-3.34
Er  0.4111  0.8221  0.4580  5 Sm 3.08-3.34

***

Calculated E (Ry/atom), listed in the same order as above: -0.345; -0.343; -0.343; -0.334
Calculated size of the total moment (μB per atom), listed in the same order as above: 0.0000; 0.0000; 0.0000; 0.0000